No. 1
Computed, not measured: a geometry-optimized Ca2DyNpO6 structure at the PBE level of DFT.

Lattice parameters (Å, degrees): 6.028 6.028 4.477 90.00 90.00 90.00
Space group P4mm (No. 99)
One atom of each set of equivalent atoms:
Ca 0.000 0.500 0.000 x2
Dy 0.000 0.000 0.620 x1
Np 0.500 0.500 0.656 x1
O 0.000 0.000 0.144 x1
O 0.258 0.258 0.719 x4
O 0.500 0.500 0.164 x1

- formation energy (no corrections) (eV per atom) = -2.960
- density (g cm⁻³) = 5.88



No. 2
Computed, not measured: a geometry-optimized CaDy2NpO8 structure at the PBE level of DFT.

Lattice parameters (Å, degrees): 3.960 7.563 5.244 90.00 93.09 90.00
Space group P2/m (No. 10)
One atom of each set of equivalent atoms:
Ca 0.000 0.000 0.000 x1
Dy 0.500 0.255 0.500 x2
Np 0.000 0.500 0.000 x1
O 0.021 0.287 0.758 x4
O 0.468 0.500 0.230 x2
O 0.500 0.000 0.266 x2

- formation energy (no corrections) (eV per atom) = -2.912
- density (g cm⁻³) = 7.73



No. 3
Computed, not measured: a geometry-optimized CaDyNpO6 structure at the PBE level of DFT.

Lattice parameters (Å, degrees): 5.7944 5.7944 9.5104 90.00 90.00 120.00
Space group P-31c (No. 163)
One atom of each set of equivalent atoms:
Ca 0.0000 0.0000 0.0000 x2
Dy 0.3333 0.6667 0.2500 x2
Np 0.3333 0.6667 0.7500 x2
O 0.0309 0.3733 0.6377 x12

- formation energy (no corrections) (eV per atom) = -2.979
- density (g cm⁻³) = 6.43



What is the formation energy (no corrections) in the second record? -2.912 eV per atom